Entry 1:
## Li4Sn3Hg (PBE)

Data for a relaxed Li4Sn3Hg crystal.

Cell lengths 3.3679, 3.3679, 13.9619 Å; angles 90.00, 90.00, 90.00 degrees
Fractional positions:
Sn: 0.5000 0.5000 0.7565
Sn: 0.5000 0.5000 0.2435
Sn: 0.5000 0.5000 0.5000
Li: 0.0000 0.0000 0.1160
Li: 0.0000 0.0000 0.8840
Li: 0.0000 0.0000 0.6292
Li: 0.0000 0.0000 0.3708
Hg: 0.5000 0.5000 0.0000

Calculated values
Its formation energy is -327 meV per atom. The electronic total energy is -2.822 eV per atom. As for the space-group type: P4/mmm.

=====

Entry 2:
## AcErAg2Hg4 (PBE)

Data for a relaxed AcErAg2Hg4 crystal.

Cell lengths 4.9706, 4.9706, 9.6847 Å; angles 75.13, 75.13, 60.00 degrees
Fractional positions:
Ag: 0.2355 0.2355 0.2934
Ag: 0.7645 0.7645 0.7066
Hg: 0.3897 0.3897 0.8310
Hg: 0.1246 0.1246 0.6263
Hg: 0.6103 0.6103 0.1690
Hg: 0.8754 0.8754 0.3737
Ac: 0.0000 0.0000 0.0000
Er: 0.5000 0.5000 0.5000

Calculated values
Its formation energy is -312 meV per atom. The electronic total energy is -2.260 eV per atom. As for the space-group type: R-3m.

=====

Entry 3:
## YMnCoGe2 (PBE)

Data for a relaxed YMnCoGe2 crystal.

Cell lengths 3.9751, 3.9751, 5.9398 Å; angles 109.55, 109.55, 90.00 degrees
Last column: magnetic moment on the atom in μB.
Fractional positions:
Ge: 0.6220 0.6220 0.2439  -0.05
Ge: 0.3780 0.3780 0.7561  -0.05
Mn: 0.2500 0.7500 0.5000  2.62
Co: 0.7500 0.2500 0.5000  0.06
Y: 0.0000 0.0000 0.0000  0.02

Calculated values
Its formation energy is -526 meV per atom. The electronic total energy is -6.921 eV per atom. As for the space-group type: I-4m2.

=====

Entry 4:
## Dy4Ho5Cd (PBE)

Data for a relaxed Dy4Ho5Cd crystal.

Cell lengths 3.5389, 3.5389, 24.1019 Å; angles 90.00, 90.00, 90.00 degrees
Fractional positions:
Ho: 0.5000 0.5000 0.7071
Ho: 0.5000 0.5000 0.5000
Ho: 0.5000 0.5000 0.9135
Ho: 0.5000 0.5000 0.2929
Ho: 0.5000 0.5000 0.0865
Cd: 0.0000 0.0000 0.0000
Dy: 0.0000 0.0000 0.6034
Dy: 0.0000 0.0000 0.3966
Dy: 0.0000 0.0000 0.8105
Dy: 0.0000 0.0000 0.1895

Calculated values
Its formation energy is -46 meV per atom. The electronic total energy is -4.268 eV per atom. As for the space-group type: P4/mmm. The distance to the lowest polymorph of the same formula comes out at 0 meV/atom.

=====

Entry 5:
## CdFe2Pt (PBE)

Data for a relaxed CdFe2Pt crystal.

Cell lengths 4.8387, 4.8387, 4.7731 Å; angles 79.24, 79.24, 33.94 degrees
Last column: magnetic moment on the atom in μB.
Fractional positions:
Cd: 0.7500 0.7500 0.7500  -0.03
Pt: 0.2500 0.2500 0.2500  0.20
Fe: 0.5068 0.5068 0.4637  2.78
Fe: 0.9932 0.9932 0.0363  2.78

Calculated values
Its formation energy is 98 meV per atom. The electronic total energy is -5.872 eV per atom. As for the space-group type: C2/m.

=====

Entry 6:
## Ti2NiHRu (PBE)

Data for a relaxed Ti2NiHRu crystal.

Cell lengths 4.2146, 4.2146, 3.3053 Å; angles 90.00, 90.00, 90.00 degrees
Fractional positions:
Ru: 0.5000 0.5000 0.5000
Ni: 0.0000 0.0000 0.5000
Ti: 0.5000 0.0000 0.0000
Ti: 0.0000 0.5000 0.0000
H: 0.0000 0.0000 0.0000

Calculated values
The electronic total energy is -7.300 eV per atom. As for the space-group type: P4/mmm. The distance to the lowest polymorph of the same formula comes out at 0 meV/atom.

=====

Entry 7:
## VGeI (PBE)

Data for a relaxed VGeI crystal.

Cell lengths 3.7858, 4.6180, 11.1595 Å; angles 111.33, 89.67, 114.24 degrees
Fractional positions:
V: 0.4159 0.8346 0.5725
V: 0.5841 0.1654 0.4275
I: 0.5464 0.1038 0.8302
I: 0.4536 0.8962 0.1698
Ge: 0.1377 0.2782 0.6005
Ge: 0.8623 0.7218 0.3995

Calculated values
The electronic total energy is -5.144 eV per atom. As for the space-group type: P-1. The value obtained for the raw formation energy is -48 meV/atom.

=====

Entry 8:
## Sc2HgPd5 (PBE)

Data for a relaxed Sc2HgPd5 crystal.

Cell lengths 4.0799, 5.7737, 11.3861 Å; angles 90.00, 90.00, 90.00 degrees
Fractional positions:
Sc: 0.5000 0.7844 0.1360
Sc: 0.5000 0.2156 0.8640
Sc: 0.5000 0.2844 0.3640
Sc: 0.5000 0.7156 0.6360
Pd: 0.0000 0.0000 0.0000
Pd: 0.0000 0.4740 0.7491
Pd: 0.5000 0.2338 0.6224
Pd: 0.5000 0.7338 0.8776
Pd: 0.0000 0.9740 0.7509
Pd: 0.0000 0.0260 0.2491
Pd: 0.0000 0.5000 0.5000
Pd: 0.5000 0.2662 0.1224
Pd: 0.5000 0.7662 0.3776
Pd: 0.0000 0.5260 0.2509
Hg: 0.0000 0.5000 0.0000
Hg: 0.0000 0.0000 0.5000

Calculated values
Its formation energy is -790 meV per atom. The electronic total energy is -5.657 eV per atom. As for the space-group type: Pbam.

=====

Entry 9:
## ScW2Cl (PBE)

Data for a relaxed ScW2Cl crystal.

Cell lengths 4.5891, 4.5891, 4.5891 Å; angles 60.00, 60.00, 60.00 degrees
Fractional positions:
W: 0.2500 0.2500 0.2500
W: 0.7500 0.7500 0.7500
Sc: 0.5000 0.5000 0.5000
Cl: 0.0000 0.0000 0.0000

Calculated values
The electronic total energy is -7.101 eV per atom. As for the space-group type: Fm-3m. The distance to the lowest polymorph of the same formula comes out at 1522 meV/atom. The value obtained for the raw formation energy is 1420 meV/atom.

=====

Entry 10:
## Sm8Ge3IrBr4 (PBE)

Data for a relaxed Sm8Ge3IrBr4 crystal.

Cell lengths 8.5145, 8.7474, 8.5145 Å; angles 119.14, 120.00, 90.00 degrees
Fractional positions:
Br: 0.5000 0.0000 0.0000
Br: 0.0000 0.0000 0.5000
Br: 0.5000 0.0000 0.5000
Br: 0.0000 0.0000 0.0000
Ge: 0.5000 0.5000 0.0000
Ge: 0.0000 0.5000 0.5000
Ge: 0.5000 0.5000 0.5000
Sm: 0.7708 0.2938 0.5417
Sm: 0.2292 0.7062 0.4583
Sm: 0.7383 0.7147 0.4766
Sm: 0.7709 0.2939 0.0228
Sm: 0.2291 0.7061 0.9772
Sm: 0.7481 0.7061 0.9772
Sm: 0.2617 0.2853 0.5234
Sm: 0.2519 0.2939 0.0228
Ir: 0.0000 0.5000 0.0000

Calculated values
The electronic total energy is -5.294 eV per atom. As for the space-group type: R-3m. The value obtained for the raw formation energy is -1096 meV/atom.

=====

Entry 11:
## Zn2Mo (PBE)

Data for a relaxed Zn2Mo crystal.

Cell lengths 7.9054, 7.9054, 7.9054 Å; angles 154.18, 154.18, 36.84 degrees
Fractional positions:
Zn: 0.1734 0.6734 0.5000
Zn: 0.3266 0.8266 0.5000
Zn: 0.5766 0.5766 0.0000
Zn: 0.4234 0.4234 0.0000
Mo: 0.7500 0.2500 0.5000
Mo: 0.0000 0.0000 0.0000

Calculated values
Its formation energy is 539 meV per atom. The electronic total energy is -3.920 eV per atom. As for the space-group type: I4_1/amd.

=====

Entry 12:
## AcPmP2Rh5 (PBE)

Data for a relaxed AcPmP2Rh5 crystal.

Cell lengths 4.1273, 4.1273, 10.7806 Å; angles 90.00, 90.00, 90.00 degrees
Fractional positions:
Pm: 0.0000 0.0000 0.0000
Ac: 0.0000 0.0000 0.5000
Rh: 0.5000 0.0000 0.1992
Rh: 0.0000 0.5000 0.8008
Rh: 0.5000 0.0000 0.8008
Rh: 0.5000 0.5000 0.5000
Rh: 0.0000 0.5000 0.1992
P: 0.5000 0.5000 0.2871
P: 0.5000 0.5000 0.7129

Calculated values
Its formation energy is -794 meV per atom. The electronic total energy is -7.065 eV per atom. As for the space-group type: P4/mmm.

=====

What did the third record say?
## YMnCoGe2 (PBE)

Data for a relaxed YMnCoGe2 crystal.

Cell lengths 3.9751, 3.9751, 5.9398 Å; angles 109.55, 109.55, 90.00 degrees
Last column: magnetic moment on the atom in μB.
Fractional positions:
Ge: 0.6220 0.6220 0.2439  -0.05
Ge: 0.3780 0.3780 0.7561  -0.05
Mn: 0.2500 0.7500 0.5000  2.62
Co: 0.7500 0.2500 0.5000  0.06
Y: 0.0000 0.0000 0.0000  0.02

Calculated values
Its formation energy is -526 meV per atom. The electronic total energy is -6.921 eV per atom. As for the space-group type: I-4m2.